No. 1
# Pm3Dy4Er2 PBE-GGA optimized geometry
data_Pm3Dy4Er2
_chemical_formula_sum 'Pm6 Dy8 Er4'
_space_group_name_H-M_alt 'C 1 2/m 1'
_space_group_IT_number 12
_cell_length_a 15.1506
_cell_length_b 5.0479
_cell_length_c 7.9767
_cell_angle_alpha 90.00
_cell_angle_beta 108.47
_cell_angle_gamma 90.00
loop_
_space_group_symop_operation_xyz
'x,y,z'
'-x,-y,-z'
'-x,y,-z'
'x,-y,z'
'x+1/2,y+1/2,z'
'-x+1/2,-y+1/2,-z'
'-x+1/2,y+1/2,-z'
'x+1/2,-y+1/2,z'
loop_
_atom_site_label
_atom_site_fract_x
_atom_site_fract_y
_atom_site_fract_z
_atom_site_occupancy
Pm1 0.0000 0.0000 0.0000 1
Pm2 0.1113 0.0000 0.6658 1
Dy1 0.0563 0.5000 0.3325 1
Dy2 0.2216 0.0000 0.3319 1
Er1 0.1677 0.5000 0.0006 1
# DOS at the Fermi energy	25.2	states/eV per cell
# formation energy from the elements	0.02	eV per atom
# polymorph energy (0 for the lowest one)	2	meV per atom
# magnetization	0.0	μB per cell
# uncorrected energy	-4.62	eV/atom

No. 2
# Pm6Dy12Er PBE-GGA optimized geometry
data_Pm6Dy12Er
_chemical_formula_sum 'Pm18 Dy36 Er3'
_space_group_name_H-M_alt 'R -3 m'
_space_group_IT_number 166
_space_group_name_Hall '-R 3 2"'
_cell_length_a 15.1089
_cell_length_b 15.1089
_cell_length_c 10.2091
_cell_angle_alpha 90.00
_cell_angle_beta 90.00
_cell_angle_gamma 120.00
loop_
_atom_site_label
_atom_site_fract_x
_atom_site_fract_y
_atom_site_fract_z
_atom_site_occupancy
Pm1 0.0780 0.5390 0.2153 1
Dy1 0.0000 0.3889 0.5000 1
Dy2 0.0785 0.1570 0.2388 1
Er1 0.0000 0.0000 0.0000 1
# DOS at the Fermi energy	93.9	states/eV per cell
# formation energy from the elements	0.46	eV per atom
# polymorph energy (0 for the lowest one)	337	meV per atom
# magnetization	0.0	μB per cell
# uncorrected energy	-4.19	eV/atom

No. 3
# Pm4DyEr PBE-GGA optimized geometry
data_Pm4DyEr
_chemical_formula_sum 'Pm16 Dy4 Er4'
_space_group_name_H-M_alt 'F -4 3 m'
_space_group_IT_number 216
_space_group_name_Hall 'F -4 2 3'
_cell_length_a 9.3908
_cell_length_b 9.3908
_cell_length_c 9.3908
_cell_angle_alpha 90.00
_cell_angle_beta 90.00
_cell_angle_gamma 90.00
loop_
_atom_site_label
_atom_site_fract_x
_atom_site_fract_y
_atom_site_fract_z
_atom_site_occupancy
Pm1 0.1251 0.1251 0.1251 1
Dy1 0.2500 0.2500 0.7500 1
Er1 0.0000 0.0000 0.5000 1
# DOS at the Fermi energy	39.7	states/eV per cell
# formation energy from the elements	0.26	eV per atom
# polymorph energy (0 for the lowest one)	204	meV per atom
# magnetization	0.0	μB per cell
# uncorrected energy	-4.43	eV/atom

Which formula does entry 2 have? Pm6Dy12Er

Repeat the second record exactly.
# Pm6Dy12Er PBE-GGA optimized geometry
data_Pm6Dy12Er
_chemical_formula_sum 'Pm18 Dy36 Er3'
_space_group_name_H-M_alt 'R -3 m'
_space_group_IT_number 166
_space_group_name_Hall '-R 3 2"'
_cell_length_a 15.1089
_cell_length_b 15.1089
_cell_length_c 10.2091
_cell_angle_alpha 90.00
_cell_angle_beta 90.00
_cell_angle_gamma 120.00
loop_
_atom_site_label
_atom_site_fract_x
_atom_site_fract_y
_atom_site_fract_z
_atom_site_occupancy
Pm1 0.0780 0.5390 0.2153 1
Dy1 0.0000 0.3889 0.5000 1
Dy2 0.0785 0.1570 0.2388 1
Er1 0.0000 0.0000 0.0000 1
# DOS at the Fermi energy	93.9	states/eV per cell
# formation energy from the elements	0.46	eV per atom
# polymorph energy (0 for the lowest one)	337	meV per atom
# magnetization	0.0	μB per cell
# uncorrected energy	-4.19	eV/atom

Which value of magnetization does entry 1 give? 0.0 μB per cell

polymorph energy (0 for the lowest one) of number 2 (Pm6Dy12Er)? 337 meV per atom